Entry one
# Ho2MoN4

Ho2MoN4 after structural relaxation (PBE-GGA, Alexandria).

Results
Calculated volume = 14.84 Å³/atom
Density = 7700 kg/m³
Space-group type = Fddd, No. 70

abc: 8.050 6.975 6.112
angles: 75.59 57.07 47.34
Atoms (fractional coordinates):
Ho  0.069  0.681  0.069
Ho  0.319  0.931  0.319
Ho  0.681  0.069  0.681
Ho  0.931  0.319  0.931
Mo  0.375  0.375  0.375
Mo  0.625  0.625  0.625
N  0.170  0.732  0.343
N  0.255  0.343  0.732
N  0.268  0.830  0.745
N  0.343  0.255  0.170
N  0.657  0.745  0.830
N  0.732  0.170  0.255
N  0.745  0.657  0.268
N  0.830  0.268  0.657


Entry two
# Ho2MoN4

Ho2MoN4 after structural relaxation (PBE-GGA, Alexandria).

Results
Calculated volume = 15.13 Å³/atom
Density = 7553 kg/m³
Space-group type = P2_1/m, No. 11

abc: 5.759 5.922 6.518
angles: 90.00 107.63 90.00
Atoms (fractional coordinates):
Ho  0.167  0.250  0.027
Ho  0.241  0.250  0.556
Ho  0.759  0.750  0.444
Ho  0.833  0.750  0.973
Mo  0.284  0.750  0.813
Mo  0.716  0.250  0.187
N  0.049  0.510  0.751
N  0.049  0.990  0.751
N  0.474  0.750  0.093
N  0.498  0.750  0.652
N  0.502  0.250  0.348
N  0.526  0.250  0.907
N  0.951  0.010  0.249
N  0.951  0.490  0.249


Out of the structures above, which one is the least stable? Solution: entry two.